DFT (PBE-GGA) results for a relaxed structure of K4MgNp3Se8.

Computed properties:
The value obtained for the formation energy (no corrections) is -1253 meV/atom.

Cell and atoms, written as POSCAR:
```
K4MgNp3Se8
1.0
4.226 2.440 7.640
-4.226 2.440 7.640
0.000 -4.880 7.640
K Mg Np Se
4 1 3 8
Cartesian
0.000 0.000 0.000
-2.113 -1.220 7.640
-2.113 1.220 15.280
0.000 2.440 7.640
0.000 0.000 11.460
-4.226 0.000 11.460
-2.113 1.220 3.820
2.113 1.220 3.820
0.000 0.000 5.388
-2.087 -1.205 12.996
0.000 -2.410 9.924
-2.087 1.205 9.924
2.087 -1.205 12.996
0.000 2.410 12.996
2.087 1.205 9.924
0.000 0.000 17.533
```